i) A relaxed structure of SmThGaTc. Source: the Alexandria database, functional PBE-GGA.

Lattice parameters (Å, degrees): 3.947 4.144 11.824 90.00 90.00 90.00
Space group Amm2 (No. 38)
Asymmetric unit:
Sm1 0.000 0.000 0.000
Th1 0.500 0.000 0.723
Ga1 0.500 0.000 0.419
Tc1 0.000 0.000 0.267

Computed properties:
Magnetic moment   0.00 Bohr magnetons per cell


ii) A relaxed structure of SmThGaTc. Source: the Alexandria database, functional PBE-GGA.

Lattice parameters (Å, degrees): 7.212 7.212 7.212 90.00 90.00 90.00
Space group F-43m (No. 216)
Asymmetric unit:
Sm1 0.000 0.000 0.000
Th1 0.000 0.000 0.500
Ga1 0.250 0.250 0.750
Tc1 0.250 0.250 0.250

Computed properties:
Magnetic moment   0.00 Bohr magnetons per cell


Energy ordering: i) at the bottom, the next structure 17.0 kJ/mol of atoms above.